Record 1
A relaxed LiPmTh crystal, computed with PBE-GGA.

## Properties
symmetry	No. 107
N(E_F)	6.9	states/eV/cell
ΔE_f	0.13	eV/atom
total magnetization	0.00	μB/f.u.
energy above the most stable polymorph in this dataset	0.000	eV per formula unit
crystal system	tetragonal

```
LiPmTh
1.0
3.6682 0.0000 0.0000
0.0000 3.6682 0.0000
0.0000 0.0000 12.9154
Li Pm Th
2 2 2
Direct
0.0000 0.0000 0.0000 Li
0.5000 0.5000 0.5000 Li
0.0000 0.0000 0.6572 Pm
0.5000 0.5000 0.1572 Pm
0.0000 0.0000 0.3425 Th
0.5000 0.5000 0.8425 Th
```

=====

Record 2
A relaxed YPd2Cl crystal, computed with PBE-GGA.

## Properties
formation energy (no corrections)	-0.381	eV/atom
symmetry	No. 225
N(E_F)	12.7	states/eV/cell
total magnetization	0.00	μB/f.u.
energy above the most stable polymorph in this dataset	0.798	eV per formula unit
crystal system	cubic

```
YPd2Cl
1.0
6.8248 0.0000 0.0000
0.0000 6.8248 0.0000
0.0000 0.0000 6.8248
Y Pd Cl
4 8 4
Direct
0.0000 0.0000 0.0000 Y
0.0000 0.5000 0.5000 Y
0.5000 0.0000 0.5000 Y
0.5000 0.5000 0.0000 Y
0.2500 0.2500 0.2500 Pd
0.2500 0.2500 0.7500 Pd
0.2500 0.7500 0.2500 Pd
0.2500 0.7500 0.7500 Pd
0.7500 0.2500 0.2500 Pd
0.7500 0.2500 0.7500 Pd
0.7500 0.7500 0.2500 Pd
0.7500 0.7500 0.7500 Pd
0.0000 0.0000 0.5000 Cl
0.0000 0.5000 0.0000 Cl
0.5000 0.0000 0.0000 Cl
0.5000 0.5000 0.5000 Cl
```

=====

Record 3
A relaxed PuCdInPt crystal, computed with PBE-GGA.

## Properties
symmetry	No. 216
N(E_F)	43.6	states/eV/cell
ΔE_f	-0.32	eV/atom
total magnetization	5.34	μB/f.u.
crystal system	cubic

```
PuCdInPt
1.0
7.0509 0.0000 0.0000
0.0000 7.0509 0.0000
0.0000 0.0000 7.0509
Pu Cd In Pt
4 4 4 4
Direct
0.0000 0.0000 0.0000 Pu
0.0000 0.5000 0.5000 Pu
0.5000 0.0000 0.5000 Pu
0.5000 0.5000 0.0000 Pu
0.2500 0.2500 0.2500 Cd
0.2500 0.7500 0.7500 Cd
0.7500 0.2500 0.7500 Cd
0.7500 0.7500 0.2500 Cd
0.0000 0.0000 0.5000 In
0.0000 0.5000 0.0000 In
0.5000 0.0000 0.0000 In
0.5000 0.5000 0.5000 In
0.2500 0.2500 0.7500 Pt
0.2500 0.7500 0.2500 Pt
0.7500 0.2500 0.2500 Pt
0.7500 0.7500 0.7500 Pt
```

=====

Record 4
A relaxed ReNiRu crystal, computed with PBE-GGA.

## Properties
symmetry	No. 42
N(E_F)	16.4	states/eV/cell
ΔE_f	0.35	eV/atom
total magnetization	0.55	μB/f.u.
energy above the most stable polymorph in this dataset	1.094	eV per formula unit
crystal system	orthorhombic

```
ReNiRu
1.0
2.9308 0.0000 0.0000
0.0000 4.3842 0.0000
0.0000 0.0000 12.8663
Re Ni Ru
4 4 4
Direct
0.0000 0.0000 0.0000 Re
0.0000 0.5000 0.5000 Re
0.5000 0.0000 0.5000 Re
0.5000 0.5000 0.0000 Re
0.0000 0.0000 0.3381 Ni
0.0000 0.5000 0.8381 Ni
0.5000 0.0000 0.8381 Ni
0.5000 0.5000 0.3381 Ni
0.0000 0.0000 0.6707 Ru
0.0000 0.5000 0.1707 Ru
0.5000 0.0000 0.1707 Ru
0.5000 0.5000 0.6707 Ru
```

=====

Record 5
A relaxed Fe2OsPt crystal, computed with PBE-GGA.

## Properties
symmetry	No. 119
N(E_F)	8.5	states/eV/cell
ΔE_f	0.06	eV/atom
total magnetization	4.05	μB/f.u.
energy above the most stable polymorph in this dataset	0.241	eV per formula unit
crystal system	tetragonal

```
Fe2OsPt
1.0
3.7267 0.0000 0.0000
0.0000 3.7267 0.0000
0.0000 0.0000 7.6000
Fe Os Pt
4 2 2
Direct
0.0000 0.0000 0.0000 Fe
0.0000 0.5000 0.2500 Fe
0.5000 0.0000 0.7500 Fe
0.5000 0.5000 0.5000 Fe
0.0000 0.5000 0.7500 Os
0.5000 0.0000 0.2500 Os
0.0000 0.0000 0.5000 Pt
0.5000 0.5000 0.0000 Pt
```

=====

Record 6
A relaxed I crystal, computed with PBE-GGA.

## Properties
formation energy (no corrections)	0.055	eV/atom
symmetry	No. 63
N(E_F)	2.5	states/eV/cell
total magnetization	0.00	μB/f.u.
energy above the most stable polymorph in this dataset	0.055	eV per formula unit
crystal system	orthorhombic

```
I
1.0
4.0091 0.0000 0.0000
0.0000 9.1292 0.0000
0.0000 0.0000 17.3754
I
12
Direct
0.0000 0.0281 0.0835 I
0.0000 0.0281 0.4165 I
0.0000 0.0338 0.7500 I
0.0000 0.9662 0.2500 I
0.0000 0.9719 0.5835 I
0.0000 0.9719 0.9165 I
0.5000 0.4662 0.2500 I
0.5000 0.4719 0.5835 I
0.5000 0.4719 0.9165 I
0.5000 0.5281 0.0835 I
0.5000 0.5281 0.4165 I
0.5000 0.5338 0.7500 I
```

=====

Record 7
A relaxed SiAu2Cl crystal, computed with PBE-GGA.

## Properties
formation energy (no corrections)	0.365	eV/atom
symmetry	No. 65
N(E_F)	3.0	states/eV/cell
total magnetization	0.00	μB/f.u.
energy above the most stable polymorph in this dataset	1.770	eV per formula unit
crystal system	orthorhombic

```
SiAu2Cl
1.0
5.4515 0.0000 0.0000
0.0000 8.0242 0.0000
0.0000 0.0000 3.5126
Si Au Cl
2 4 2
Direct
0.0000 0.0000 0.0000 Si
0.5000 0.5000 0.0000 Si
0.2500 0.2500 0.5000 Au
0.2500 0.7500 0.5000 Au
0.7500 0.2500 0.5000 Au
0.7500 0.7500 0.5000 Au
0.0000 0.5000 0.0000 Cl
0.5000 0.0000 0.0000 Cl
```

=====

Record 8
A relaxed KAg2Rh crystal, computed with PBE-GGA.

## Properties
symmetry	No. 119
N(E_F)	4.0	states/eV/cell
ΔE_f	0.54	eV/atom
total magnetization	0.00	μB/f.u.
energy above the most stable polymorph in this dataset	0.864	eV per formula unit
crystal system	tetragonal

```
KAg2Rh
1.0
4.2934 0.0000 0.0000
0.0000 4.2934 0.0000
0.0000 0.0000 8.8156
K Ag Rh
2 4 2
Direct
0.0000 0.0000 0.0000 K
0.5000 0.5000 0.5000 K
0.0000 0.0000 0.5000 Ag
0.0000 0.5000 0.2500 Ag
0.5000 0.0000 0.7500 Ag
0.5000 0.5000 0.0000 Ag
0.0000 0.5000 0.7500 Rh
0.5000 0.0000 0.2500 Rh
```

=====

Record 9
A relaxed Al2Cu3Au crystal, computed with PBE-GGA.

## Properties
symmetry	No. 15
N(E_F)	3.1	states/eV/cell
ΔE_f	-0.23	eV/atom
total magnetization	0.00	μB/f.u.
energy above the most stable polymorph in this dataset	0.000	eV per formula unit
crystal system	monoclinic

```
Al2Cu3Au
1.0
2.6725 -2.6661 0.0000
2.6725 2.6661 0.0000
-2.6447 0.0000 11.6710
Al Cu Au
4 6 2
Direct
0.0439 0.2939 0.0873 Al
0.2939 0.0439 0.5873 Al
0.7061 0.9561 0.4127 Al
0.9561 0.7061 0.9127 Al
0.2135 0.4622 0.4268 Cu
0.3744 0.6256 0.7500 Cu
0.4622 0.2135 0.9268 Cu
0.5377 0.7865 0.0732 Cu
0.6256 0.3744 0.2500 Cu
0.7865 0.5377 0.5732 Cu
0.1254 0.8746 0.2500 Au
0.8746 0.1254 0.7500 Au
```

=====

Record 10
A relaxed AcPuN2O crystal, computed with PBE-GGA.

## Properties
formation energy (no corrections)	-1.753	eV/atom
symmetry	No. 140
N(E_F)	8.6	states/eV/cell
total magnetization	3.00	μB/f.u.
crystal system	tetragonal

```
AcPuN2O
1.0
-3.0089 3.0089 4.3856
3.0089 -3.0089 4.3856
3.0089 3.0089 -4.3856
Ac Pu N O
2 2 4 2
Direct
0.2500 0.7500 0.5000 Ac
0.7500 0.2500 0.5000 Ac
0.0000 0.0000 0.0000 Pu
0.5000 0.5000 0.0000 Pu
0.1951 0.6951 0.8902 N
0.3049 0.1951 0.5000 N
0.6951 0.8049 0.5000 N
0.8049 0.3049 0.1098 N
0.2500 0.2500 0.0000 O
0.7500 0.7500 0.0000 O
```

=====

Record 11
A relaxed La4TbNd7 crystal, computed with PBE-GGA.

## Properties
symmetry	No. 2
N(E_F)	18.0	states/eV/cell
ΔE_f	0.02	eV/atom
total magnetization	0.00	μB/f.u.
energy above the most stable polymorph in this dataset	0.000	eV per formula unit
crystal system	triclinic

```
La4TbNd7
1.0
6.4472 0.0000 0.0000
0.0153 7.3994 0.0000
2.1591 0.0171 9.0062
La Tb Nd
4 1 7
Direct
0.2188 0.2518 0.3306 La
0.2791 0.9995 0.6683 La
0.7209 0.0005 0.3317 La
0.7812 0.7482 0.6694 La
0.5000 0.5000 0.0000 Tb
0.0008 0.7482 0.0003 Nd
0.2220 0.7473 0.3271 Nd
0.2816 0.5003 0.6710 Nd
0.5000 0.0000 0.0000 Nd
0.7184 0.4997 0.3290 Nd
0.7780 0.2527 0.6729 Nd
0.9992 0.2518 0.9997 Nd
```

=====

Record 12
A relaxed TaMnAs2Se crystal, computed with PBE-GGA.

## Properties
formation energy (no corrections)	0.441	eV/atom
symmetry	No. 123
N(E_F)	3.1	states/eV/cell
total magnetization	4.81	μB/f.u.
energy above the most stable polymorph in this dataset	0.000	eV per formula unit
crystal system	tetragonal

```
TaMnAs2Se
1.0
5.0318 0.0000 0.0000
0.0000 5.0318 0.0000
0.0000 0.0000 4.9703
Ta Mn As Se
1 1 2 1
Direct
0.0000 0.0000 0.0000 Ta
0.5000 0.5000 0.5000 Mn
0.0000 0.5000 0.0000 As
0.5000 0.0000 0.0000 As
0.0000 0.0000 0.5000 Se
```

=====

Record 13
A relaxed Na2Sc2SnO6 crystal, computed with PBE-GGA.

## Properties
formation energy (no corrections)	-2.495	eV/atom
symmetry	No. 12
N(E_F)	0.0	states/eV/cell
total magnetization	0.00	μB/f.u.
crystal system	monoclinic

```
Na2Sc2SnO6
1.0
2.7637 -4.7753 0.0000
2.7637 4.7753 0.0000
-1.8385 0.0000 5.6036
Na Sc Sn O
2 2 1 6
Direct
0.1687 0.8313 0.0000 Na
0.8313 0.1687 0.0000 Na
0.3346 0.6654 0.5000 Sc
0.6654 0.3346 0.5000 Sc
0.0000 0.0000 0.5000 Sn
0.0563 0.3942 0.6945 O
0.2563 0.2563 0.3062 O
0.3942 0.0563 0.6945 O
0.6058 0.9437 0.3055 O
0.7437 0.7437 0.6938 O
0.9437 0.6058 0.3055 O
```